(P)
Li3AlCd | PBE-GGA | relaxed

Cell and atoms, written as POSCAR:
```
Li3AlCd
1.0
4.580 0.000 0.001
0.001 5.297 1.128
0.001 0.053 7.165
Li Al Cd
6 2 2
Direct
0.624 0.805 0.571
0.624 0.987 0.178
0.124 0.500 0.663
0.124 0.293 0.076
0.125 0.111 0.470
0.624 0.598 0.984
0.625 0.411 0.372
0.125 0.687 0.275
0.625 0.211 0.768
0.125 0.887 0.879
```

The calculation puts the density at 3.07 g/cm3. The calculation puts the volume at 174 Å³/cell.

***

(Q)
Li3AlCd | PBE-GGA | relaxed

Cell and atoms, written as POSCAR:
```
Li3AlCd
1.0
4.916 0.000 0.000
0.000 4.916 0.000
0.000 0.000 4.916
Li Al Cd
3 1 1
Direct
0.000 0.500 0.000
0.000 0.000 0.500
0.500 0.000 0.000
0.500 0.500 0.500
0.000 0.000 0.000
```

The calculation puts the density at 2.24 g/cm3. The calculation puts the volume at 119 Å³/cell.

***

(R)
Li3AlCd | PBE-GGA | relaxed

Cell and atoms, written as POSCAR:
```
Li3AlCd
1.0
-0.257 -0.163 -4.543
0.401 -5.684 0.181
-6.738 -0.390 2.673
Li Al Cd
6 2 2
Direct
0.891 0.005 0.779
0.109 0.995 0.221
0.891 0.495 0.779
0.109 0.505 0.221
0.310 0.750 0.623
0.690 0.250 0.377
0.710 0.750 0.424
0.290 0.250 0.576
0.508 0.750 0.028
0.492 0.250 0.972
```

The calculation puts the density at 2.97 g/cm3. The calculation puts the volume at 179 Å³/cell.

***

Which structure wins on stability? (P) wins.

***

(P)
LiMgAlCd | PBE-GGA | relaxed

Cell and atoms, written as POSCAR:
```
LiMgAlCd
1.0
-0.928 3.783 -2.507
-0.001 -4.173 -2.006
-5.102 -0.522 1.097
Li Mg Al Cd
1 1 1 1
Direct
0.905 0.810 0.978
0.572 0.144 0.384
0.239 0.477 0.188
0.238 0.477 0.689
```

The calculation puts the density at 2.91 g/cm3. The calculation puts the volume at 97 Å³/cell.

***

(Q)
LiMgAlCd | PBE-GGA | relaxed

Cell and atoms, written as POSCAR:
```
LiMgAlCd
1.0
-3.450 2.576 1.973
-4.507 -1.411 -0.355
-2.280 -1.626 3.819
Mg Li Al Cd
1 1 1 1
Direct
0.000 0.000 0.000
0.250 0.250 0.250
0.500 0.500 0.500
0.750 0.750 0.750
```

The calculation puts the density at 3.77 g/cm3. The calculation puts the volume at 75 Å³/cell.

***

Which structure wins on stability? (Q) wins.

***

(P)
LiAlZnCd | PBE-GGA | relaxed

Cell and atoms, written as POSCAR:
```
LiAlZnCd
1.0
4.596 0.000 0.000
2.298 3.980 0.000
2.298 1.327 3.753
Zn Li Al Cd
1 1 1 1
Direct
0.250 0.250 0.250
0.500 0.500 0.500
0.000 0.000 0.000
0.750 0.750 0.750
```

The calculation puts the density at 5.12 g/cm3. The calculation puts the volume at 69 Å³/cell.

***

(Q)
LiAlZnCd | PBE-GGA | relaxed

Cell and atoms, written as POSCAR:
```
LiAlZnCd
1.0
4.339 0.000 0.000
0.000 4.339 0.004
-2.169 -2.174 3.648
Li Al Zn Cd
1 1 1 1
Direct
0.750 0.250 0.500
0.250 0.750 0.500
0.500 0.500 0.000
0.000 0.000 0.000
```

The calculation puts the density at 5.12 g/cm3. The calculation puts the volume at 69 Å³/cell.

***

Which structure wins on stability? (Q) wins.

***

(P)
Mg2AlCd | PBE-GGA | relaxed

Cell and atoms, written as POSCAR:
```
Mg2AlCd
1.0
3.083 0.057 0.000
-0.053 3.083 0.000
0.000 0.000 8.813
Mg Al Cd
2 1 1
Direct
0.000 0.000 0.996
0.500 0.500 0.264
0.000 0.000 0.499
0.500 0.500 0.740
```

The calculation puts the density at 3.73 g/cm3. The calculation puts the volume at 84 Å³/cell.

***

(Q)
Mg2AlCd | PBE-GGA | relaxed

Cell and atoms, written as POSCAR:
```
Mg2AlCd
1.0
10.412 0.112 0.066
9.926 3.147 0.066
9.926 1.591 2.716
Mg Al Cd
2 1 1
Direct
0.995 0.995 0.995
0.505 0.505 0.505
0.250 0.250 0.250
0.750 0.750 0.750
```

The calculation puts the density at 3.72 g/cm3. The calculation puts the volume at 84 Å³/cell.

***

Which structure wins on stability? (Q) wins.

***

(P)
Mg2AlCd | PBE-GGA | relaxed

Cell and atoms, written as POSCAR:
```
Mg2AlCd
1.0
3.086 0.000 0.000
0.000 5.561 0.042
0.000 3.730 4.915
Mg Al Cd
2 1 1
Direct
0.000 0.000 0.000
0.500 0.500 0.000
0.500 0.500 0.500
0.000 0.000 0.500
```

The calculation puts the density at 3.72 g/cm3. The calculation puts the volume at 84 Å³/cell.

***

(Q)
Mg2AlCd | PBE-GGA | relaxed

Cell and atoms, written as POSCAR:
```
Mg2AlCd
1.0
-0.343 0.343 5.284
-1.788 -4.619 1.901
3.970 1.119 -3.338
Mg Al Cd
2 1 1
Direct
0.000 0.000 0.000
0.500 0.500 0.000
0.250 0.750 0.500
0.750 0.250 0.500
```

The calculation puts the density at 3.79 g/cm3. The calculation puts the volume at 82 Å³/cell.

***

(R)
Mg2AlCd | PBE-GGA | relaxed

Cell and atoms, written as POSCAR:
```
Mg2AlCd
1.0
-2.360 -3.855 2.950
-0.353 -4.615 -2.777
4.091 3.381 0.985
Mg Al Cd
2 1 1
Direct
0.000 0.000 0.000
0.250 0.750 0.500
0.500 0.500 0.000
0.750 0.250 0.500
```

The calculation puts the density at 3.75 g/cm3. The calculation puts the volume at 83 Å³/cell.

***

Which structure wins on stability? (Q) wins.

***

(P)
Mg2AlCd | PBE-GGA | relaxed

Cell and atoms, written as POSCAR:
```
Mg2AlCd
1.0
5.282 -0.018 0.001
-1.693 5.003 0.001
-0.001 -0.001 3.118
Mg Al Cd
2 1 1
Direct
0.000 0.000 0.000
0.500 0.500 0.000
0.500 0.000 0.500
0.000 0.500 0.500
```

The calculation puts the density at 3.79 g/cm3. The calculation puts the volume at 82 Å³/cell.

***

(Q)
Mg2AlCd | PBE-GGA | relaxed

Cell and atoms, written as POSCAR:
```
Mg2AlCd
1.0
-0.296 0.572 4.856
0.819 -3.809 2.969
4.061 -0.145 2.735
Al Cd Mg
1 1 2
Direct
0.500 0.500 0.500
0.750 0.750 0.750
0.000 0.000 0.000
0.250 0.250 0.250
```

The calculation puts the density at 3.76 g/cm3. The calculation puts the volume at 83 Å³/cell.

***

(R)
Mg2AlCd | PBE-GGA | relaxed

Cell and atoms, written as POSCAR:
```
Mg2AlCd
1.0
-2.922 2.148 4.077
-4.741 2.176 1.600
-2.328 -4.372 1.659
Mg Al Cd
2 1 1
Direct
0.002 0.002 0.991
0.247 0.247 0.263
0.499 0.499 0.488
0.753 0.753 0.758
```

The calculation puts the density at 3.76 g/cm3. The calculation puts the volume at 83 Å³/cell.

***

Which structure wins on stability? (P) wins.

***

(P)
Mg16Al12Cd | PBE-GGA | relaxed

Cell and atoms, written as POSCAR:
```
Mg16Al12Cd
1.0
9.108 -0.006 -0.011
-3.005 8.598 -0.011
-3.005 -4.230 7.485
Mg Al Cd
16 12 1
Direct
0.315 0.315 0.713
0.001 0.001 0.001
0.001 0.001 0.655
0.598 0.598 0.291
0.682 0.402 0.000
0.598 0.291 0.598
0.000 0.682 0.402
0.001 0.655 0.001
0.713 0.315 0.315
0.402 0.000 0.682
0.000 0.402 0.682
0.315 0.713 0.315
0.655 0.001 0.001
0.682 0.000 0.402
0.291 0.598 0.598
0.402 0.682 0.000
0.815 0.815 0.186
0.640 0.640 0.826
0.365 0.182 0.996
0.182 0.996 0.365
0.826 0.640 0.640
0.186 0.815 0.815
0.365 0.996 0.182
0.996 0.365 0.182
0.815 0.186 0.815
0.640 0.826 0.640
0.996 0.182 0.365
0.182 0.365 0.996
0.335 0.335 0.335
```

The calculation puts the density at 2.34 g/cm3. The calculation puts the volume at 585 Å³/cell.

***

(Q)
Mg16Al12Cd | PBE-GGA | relaxed

Cell and atoms, written as POSCAR:
```
Mg16Al12Cd
1.0
9.133 0.000 0.000
-3.044 8.610 0.000
-3.044 -4.305 7.457
Mg Al Cd
16 12 1
Direct
0.314 0.599 0.000
0.339 0.000 0.000
0.599 0.314 0.000
0.000 0.339 0.000
0.401 0.401 0.715
0.686 0.285 0.686
0.285 0.686 0.686
0.661 0.661 0.661
0.000 0.314 0.599
0.314 0.000 0.599
0.715 0.401 0.401
0.401 0.715 0.401
0.000 0.000 0.339
0.000 0.599 0.314
0.599 0.000 0.314
0.686 0.686 0.285
0.631 0.814 0.000
0.814 0.631 0.000
0.186 0.186 0.817
0.000 0.631 0.814
0.631 0.000 0.814
0.000 0.814 0.631
0.814 0.000 0.631
0.369 0.183 0.369
0.183 0.369 0.369
0.817 0.186 0.186
0.186 0.817 0.186
0.369 0.369 0.183
0.000 0.000 0.000
```

The calculation puts the density at 2.34 g/cm3. The calculation puts the volume at 586 Å³/cell.

***

Which structure wins on stability? (P) wins.

***

(P)
Mg8AlCd2 | PBE-GGA | relaxed

Cell and atoms, written as POSCAR:
```
Mg8AlCd2
1.0
-2.629 2.289 -3.881
3.159 -6.003 -3.752
-5.716 -1.185 5.100
Mg Al Cd
8 1 2
Direct
0.866 0.904 0.681
0.866 0.681 0.904
0.301 0.607 0.607
0.500 0.786 0.214
0.500 0.214 0.786
0.699 0.393 0.393
0.134 0.319 0.096
0.134 0.096 0.319
0.500 0.000 0.000
0.000 0.302 0.698
0.000 0.698 0.302
```

The calculation puts the density at 2.94 g/cm3. The calculation puts the volume at 252 Å³/cell.

***

(Q)
Mg8AlCd2 | PBE-GGA | relaxed

Cell and atoms, written as POSCAR:
```
Mg8AlCd2
1.0
4.291 0.000 -1.233
-0.691 6.519 -2.402
0.063 0.589 8.299
Mg Al Cd
8 1 2
Direct
0.592 0.448 0.184
0.321 0.085 0.643
0.138 0.186 0.275
0.043 0.735 0.086
0.862 0.814 0.725
0.679 0.915 0.357
0.408 0.552 0.816
0.957 0.265 0.914
0.500 0.000 0.000
0.223 0.643 0.445
0.777 0.357 0.555
```

The calculation puts the density at 3.10 g/cm3. The calculation puts the volume at 239 Å³/cell.

***

Which structure wins on stability? (Q) wins.

***

(P)
Mg2AlCd2 | PBE-GGA | relaxed

Cell and atoms, written as POSCAR:
```
Mg2AlCd2
1.0
-0.886 5.437 -4.569
-6.958 0.257 1.656
0.864 2.823 3.192
Mg Al Cd
4 2 4
Direct
0.164 0.664 0.500
0.664 0.836 0.500
0.836 0.336 0.500
0.336 0.164 0.500
0.000 0.000 0.000
0.500 0.500 0.000
0.359 0.859 0.000
0.859 0.641 0.000
0.641 0.141 0.000
0.141 0.359 0.000
```

The calculation puts the density at 4.48 g/cm3. The calculation puts the volume at 223 Å³/cell.

***

(Q)
Mg2AlCd2 | PBE-GGA | relaxed

Cell and atoms, written as POSCAR:
```
Mg2AlCd2
1.0
8.349 0.000 0.000
0.000 8.349 0.000
0.000 0.000 3.233
Mg Al Cd
4 2 4
Direct
0.370 0.870 0.000
0.870 0.630 0.000
0.630 0.130 0.000
0.130 0.370 0.000
0.000 0.000 0.000
0.500 0.500 0.000
0.171 0.671 0.500
0.671 0.829 0.500
0.829 0.329 0.500
0.329 0.171 0.500
```

The calculation puts the density at 4.43 g/cm3. The calculation puts the volume at 225 Å³/cell.

***

Which structure wins on stability? (P) wins.

***

(P)
Mg12AlCd6 | PBE-GGA | relaxed

Cell and atoms, written as POSCAR:
```
Mg12AlCd6
1.0
-0.086 -7.027 -3.805
7.049 3.351 -1.716
0.215 -1.718 7.802
Mg Al Cd
12 1 6
Direct
0.481 0.189 0.589
0.189 0.589 0.481
0.589 0.481 0.189
0.519 0.811 0.411
0.811 0.411 0.519
0.411 0.519 0.811
0.265 0.128 0.835
0.165 0.735 0.872
0.872 0.165 0.735
0.735 0.872 0.165
0.835 0.265 0.128
0.128 0.835 0.265
0.000 0.000 0.000
0.088 0.198 0.465
0.802 0.535 0.912
0.535 0.912 0.802
0.912 0.802 0.535
0.198 0.465 0.088
0.465 0.088 0.198
```

The calculation puts the density at 3.78 g/cm3. The calculation puts the volume at 436 Å³/cell.

***

(Q)
Mg12AlCd6 | PBE-GGA | relaxed

Cell and atoms, written as POSCAR:
```
Mg12AlCd6
1.0
7.437 0.609 0.729
-0.526 7.444 0.729
-0.526 -0.612 7.454
Mg Al Cd
12 1 6
Direct
0.804 0.524 0.433
0.433 0.804 0.524
0.524 0.433 0.804
0.196 0.476 0.567
0.567 0.196 0.476
0.476 0.567 0.196
0.038 0.150 0.368
0.850 0.632 0.962
0.632 0.962 0.850
0.962 0.850 0.632
0.150 0.368 0.038
0.368 0.038 0.150
0.000 0.000 0.000
0.727 0.882 0.268
0.732 0.273 0.118
0.118 0.732 0.273
0.273 0.118 0.732
0.268 0.727 0.882
0.882 0.268 0.727
```

The calculation puts the density at 3.92 g/cm3. The calculation puts the volume at 421 Å³/cell.

***

Which structure wins on stability? (Q) wins.